## CsAg2Sb2 (PBE)

Data for CsAg2Sb2 after structural relaxation.

Calculated values
DOS at the Fermi energy = 0.414 states/eV/atom
offset from the most stable computed form = 92.2 meV/atom
final energy = -15.16 eV per cell
formation energy without anion corrections = -0.071 eV per atom

Lattice parameters (Å, degrees): 5.325 5.325 7.319 68.66 68.66 90.00
Fractional positions:
Cs  0.000  0.000  0.000
Sb  0.750  0.250  0.500
Sb  0.250  0.750  0.500
Ag  0.325  0.325  0.350
Ag  0.675  0.675  0.650